Y2TmPd | GGA-PBE | relaxed

Output
Calculated formation energy, eV/atom: -0.3941
Polymorph energy (0 for the lowest one), meV per atom: 82.8
Electronic total energy, eV/atom: -6.0422

Lattice parameters (Å, degrees): 3.579 3.579 8.355 90.00 90.00 90.00
Positions (direct):
Y  0.000  0.000  0.202
Y  0.000  0.000  0.798
Tm  0.500  0.500  0.500
Pd  0.500  0.500  0.000

***

Y2TmPd4 | GGA-PBE | relaxed

Output
Calculated formation energy, eV/atom: -0.5814
Electronic total energy, eV/atom: -6.0344

Lattice parameters (Å, degrees): 5.206 5.250 6.952 71.30 85.55 68.36
Positions (direct):
Y  0.002  0.332  0.295
Y  0.998  0.668  0.705
Tm  0.500  0.000  0.000
Pd  0.000  0.000  0.000
Pd  0.312  0.683  0.355
Pd  0.500  0.500  0.000
Pd  0.688  0.317  0.645

***

Y2TmPd | GGA-PBE | relaxed

Output
Calculated formation energy, eV/atom: -0.0714
Polymorph energy (0 for the lowest one), meV per atom: 405.4
Electronic total energy, eV/atom: -5.7195

Lattice parameters (Å, degrees): 10.873 10.873 10.873 18.87 18.87 18.87
Positions (direct):
Y  0.105  0.105  0.105
Y  0.895  0.895  0.895
Tm  0.000  0.000  0.000
Pd  0.500  0.500  0.500

***

Y2TmPd | GGA-PBE | relaxed

Output
Calculated formation energy, eV/atom: -0.2816
Polymorph energy (0 for the lowest one), meV per atom: 195.3
Electronic total energy, eV/atom: -5.9297

Lattice parameters (Å, degrees): 9.822 9.822 9.822 21.71 21.71 21.71
Positions (direct):
Y  0.000  0.000  0.000
Y  0.200  0.200  0.200
Tm  0.434  0.434  0.434
Pd  0.600  0.600  0.600

***

YTmPd | GGA-PBE | relaxed

Output
Calculated formation energy, eV/atom: -0.4899
Polymorph energy (0 for the lowest one), meV per atom: 81.6
Electronic total energy, eV/atom: -5.8660

Lattice parameters (Å, degrees): 4.862 4.862 4.862 60.00 60.00 60.00
Positions (direct):
Y  0.000  0.000  0.000
Tm  0.500  0.500  0.500
Pd  0.250  0.250  0.250

***

Y2TmPd9 | GGA-PBE | relaxed

Output
Calculated formation energy, eV/atom: -0.8632
Electronic total energy, eV/atom: -6.2078

Lattice parameters (Å, degrees): 4.122 4.122 12.357 90.00 90.00 90.00
Positions (direct):
Y  0.000  0.000  0.169
Y  0.000  0.000  0.831
Tm  0.000  0.000  0.500
Pd  0.000  0.500  0.000
Pd  0.000  0.500  0.336
Pd  0.000  0.500  0.664
Pd  0.500  0.000  0.000
Pd  0.500  0.000  0.336
Pd  0.500  0.000  0.664
Pd  0.500  0.500  0.167
Pd  0.500  0.500  0.500
Pd  0.500  0.500  0.833